{
  "formula": "SiAg2Mo",
  "functional": "PBE-GGA",
  "state": "relaxed",
  "lattice_angstrom": [[-7.330, 1.909, 5.821], [-8.582, -0.055, 4.197], [-7.016, -0.847, 6.429]],
  "species": ["Ag", "Ag", "Si", "Mo"],
  "frac_coords": [[0.003, 0.003, 0.003], [0.497, 0.497, 0.497], [0.750, 0.750, 0.750], [0.250, 0.250, 0.250]],
  "dos_ef_per_ev_fu": 2.91,
  "space_group": "No. 166",
  "e_form_raw_ev_per_atom": 0.42
}

{
  "formula": "YCu2Bi",
  "functional": "PBE-GGA",
  "state": "relaxed",
  "lattice_angstrom": [[4.458, 0.000, 0.000], [0.000, 4.458, 0.000], [2.229, 2.229, 9.507]],
  "species": ["Bi", "Bi", "Cu", "Cu", "Cu", "Cu", "Y", "Y"],
  "frac_coords": [[0.000, 0.000, 0.000], [0.750, 0.250, 0.500], [0.726, 0.125, 0.250], [0.024, 0.625, 0.250], [0.875, 0.976, 0.750], [0.375, 0.274, 0.750], [0.250, 0.750, 0.500], [0.500, 0.500, 0.000]],
  "dos_ef_per_ev_fu": 1.94,
  "delta_e_f_kj_per_mol_fu": 23.5,
  "space_group": "No. 122"
}